(1)
A plane-wave DFT calculation with PBE was carried out for a relaxed ZrCdPCl2 crystal.

Cell: 4.994 4.994 5.255 Å, 90.00 90.00 90.00°
Sites, in units of the cell vectors:
Cd 0.500 0.500 0.500
P 0.000 0.000 0.500
Zr 0.000 0.000 0.000
Cl 0.000 0.500 0.000
Cl 0.500 0.000 0.000

Values from the calculation:
* energy above the lowest structure with this stoichiometry: 0.0000 eV/atom
* total energy: -21.81 eV for the cell shown

(2)
A plane-wave DFT calculation with PBE was carried out for a relaxed LaVI3 crystal.

Cell: 5.511 5.511 5.511 Å, 90.00 90.00 90.00°
Last column: magnetic moment on the atom in μB.
Sites, in units of the cell vectors:
La 0.500 0.500 0.500  -0.42
I 0.500 0.000 0.000  0.00
I 0.000 0.500 0.000  0.00
I 0.000 0.000 0.500  0.00
V 0.000 0.000 0.000  2.81

Values from the calculation:
* total energy: -20.06 eV for the cell shown

(3)
A plane-wave DFT calculation with PBE was carried out for a relaxed MgTaIn crystal.

Cell: 4.641 4.641 4.641 Å, 60.00 60.00 60.00°
Last column: magnetic moment on the atom in μB.
Sites, in units of the cell vectors:
Ta 0.500 0.500 0.500  0.35
In 0.250 0.250 0.250  -0.01
Mg 0.000 0.000 0.000  0.00

Values from the calculation:
* total energy: -13.62 eV for the cell shown
* energy of formation: 0.856 eV/atom

(4)
A plane-wave DFT calculation with PBE was carried out for a relaxed Ba4RePt crystal.

Cell: 6.730 6.730 6.730 Å, 60.00 60.00 60.00°
Last column: magnetic moment on the atom in μB.
Sites, in units of the cell vectors:
Ba 0.874 0.375 0.375  -0.11
Ba 0.375 0.375 0.375  -0.11
Ba 0.375 0.874 0.375  -0.11
Ba 0.375 0.375 0.874  -0.11
Pt 0.750 0.750 0.750  0.04
Re 0.000 0.000 0.000  2.60

Values from the calculation:
* total energy: -18.09 eV for the cell shown
* energy of formation: 1.348 eV/atom

(5)
A plane-wave DFT calculation with PBE was carried out for a relaxed MgMo2Cl crystal.

Cell: 4.561 4.561 4.561 Å, 60.00 60.00 60.00°
Sites, in units of the cell vectors:
Mo 0.250 0.250 0.250
Mo 0.000 0.000 0.000
Mg 0.750 0.750 0.750
Cl 0.500 0.500 0.500

Values from the calculation:
* energy above the lowest structure with this stoichiometry: 0.7595 eV/atom
* total energy: -22.21 eV for the cell shown

(6)
A plane-wave DFT calculation with PBE was carried out for a relaxed FeRe2Ge crystal.

Cell: 5.549 5.549 6.489 Å, 64.69 64.69 90.00°
Sites, in units of the cell vectors:
Re 0.158 0.625 0.250
Re 0.875 0.842 0.750
Re 0.592 0.125 0.250
Re 0.375 0.408 0.750
Ge 0.750 0.250 0.500
Ge 0.000 0.000 0.000
Fe 0.500 0.500 0.000
Fe 0.250 0.750 0.500

Values from the calculation:
* total energy: -65.32 eV for the cell shown
* energy of formation: 1.329 eV/atom

(7)
A plane-wave DFT calculation with PBE was carried out for a relaxed Sm2PaRu2 crystal.

Cell: 5.925 5.925 7.931 Å, 81.06 81.06 61.20°
Sites, in units of the cell vectors:
Sm 0.230 0.468 0.651
Sm 0.468 0.230 0.151
Sm 0.770 0.532 0.349
Sm 0.532 0.770 0.849
Ru 0.252 0.003 0.486
Ru 0.748 0.997 0.514
Ru 0.997 0.748 0.014
Ru 0.003 0.252 0.986
Pa 0.123 0.877 0.250
Pa 0.877 0.123 0.750

Values from the calculation:
* energy above the lowest structure with this stoichiometry: 0.0000 eV/atom
* total energy: -79.33 eV for the cell shown
* energy of formation: -0.436 eV/atom

(8)
A plane-wave DFT calculation with PBE was carried out for a relaxed PmYMgOs crystal.

Cell: 5.066 5.066 5.066 Å, 60.00 60.00 60.00°
Sites, in units of the cell vectors:
Os 0.500 0.500 0.500
Y 0.750 0.750 0.750
Pm 0.250 0.250 0.250
Mg 0.000 0.000 0.000

Values from the calculation:
* total energy: -24.34 eV for the cell shown
* energy of formation: -0.075 eV/atom

(9)
A plane-wave DFT calculation with PBE was carried out for a relaxed Tl2In2Ga15 crystal.

Cell: 7.476 7.476 7.476 Å, 82.66 82.66 82.66°
Sites, in units of the cell vectors:
In 0.109 0.109 0.109
In 0.891 0.891 0.891
Ga 0.000 0.698 0.302
Ga 0.000 0.000 0.500
Ga 0.363 0.363 0.842
Ga 0.842 0.363 0.363
Ga 0.302 0.698 0.000
Ga 0.637 0.158 0.637
Ga 0.637 0.637 0.158
Ga 0.158 0.637 0.637
Ga 0.000 0.500 0.000
Ga 0.500 0.000 0.000
Ga 0.698 0.302 0.000
Ga 0.302 0.000 0.698
Ga 0.000 0.302 0.698
Ga 0.698 0.000 0.302
Ga 0.363 0.842 0.363
Tl 0.346 0.346 0.346
Tl 0.654 0.654 0.654

Values from the calculation:
* total energy: -54.90 eV for the cell shown
* energy of formation: 0.038 eV/atom

(10)
A plane-wave DFT calculation with PBE was carried out for a relaxed Rb4CoW2 crystal.

Cell: 7.126 7.126 9.644 Å, 68.32 68.32 90.00°
Last column: magnetic moment on the atom in μB.
Sites, in units of the cell vectors:
W 0.564 0.564 0.873  0.01
W 0.436 0.436 0.127  0.01
Rb 0.204 0.204 0.592  0.00
Rb 0.796 0.796 0.408  0.00
Rb 0.500 0.000 0.000  0.00
Rb 0.000 0.500 0.000  0.00
Co 0.000 0.000 0.000  1.98

Values from the calculation:
* total energy: -24.93 eV for the cell shown
* energy of formation: 1.707 eV/atom

(11)
A plane-wave DFT calculation with PBE was carried out for a relaxed BeAlHg2 crystal.

Cell: 4.232 4.232 5.035 Å, 90.01 90.01 59.97°
Sites, in units of the cell vectors:
Be 0.125 0.125 0.507
Hg 0.125 0.125 0.016
Hg 0.792 0.792 0.638
Al 0.458 0.458 0.338

Values from the calculation:
* energy above the lowest structure with this stoichiometry: 0.0000 eV/atom
* total energy: -7.17 eV for the cell shown
* energy of formation: 0.226 eV/atom

(12)
A plane-wave DFT calculation with PBE was carried out for a relaxed NdHo2Sc4 crystal.

Cell: 7.597 8.958 5.891 Å, 90.18 105.18 90.23°
Sites, in units of the cell vectors:
Ho 0.910 0.379 0.966
Ho 0.132 0.308 0.536
Ho 0.419 0.872 0.966
Ho 0.691 0.449 0.393
Sc 0.838 0.728 0.109
Sc 0.553 0.163 0.679
Sc 0.270 0.589 0.249
Sc 0.627 0.799 0.535
Sc 0.481 0.520 0.822
Sc 0.346 0.237 0.105
Sc 0.054 0.658 0.680
Sc 0.759 0.090 0.251
Nd 0.972 0.015 0.819
Nd 0.198 0.942 0.391

Values from the calculation:
* total energy: -77.66 eV for the cell shown
* energy of formation: 0.060 eV/atom

(13)
A plane-wave DFT calculation with PBE was carried out for a relaxed Mg6Sc2Cd crystal.

Cell: 3.068 8.771 9.081 Å, 118.88 99.73 90.00°
Sites, in units of the cell vectors:
Mg 0.670 0.843 0.339
Mg 0.330 0.504 0.661
Mg 0.500 0.825 0.000
Mg 0.670 0.496 0.339
Mg 0.330 0.157 0.661
Mg 0.500 0.175 0.000
Sc 0.847 0.847 0.694
Sc 0.153 0.153 0.306
Cd 0.000 0.500 0.000

Values from the calculation:
* total energy: -22.93 eV for the cell shown
* energy of formation: 0.024 eV/atom

(14)
A plane-wave DFT calculation with PBE was carried out for a relaxed Zr2VIn2 crystal.

Cell: 7.368 7.368 4.039 Å, 90.00 90.00 90.00°
Last column: magnetic moment on the atom in μB.
Sites, in units of the cell vectors:
V 0.500 0.500 0.000  2.10
V 0.000 0.000 0.000  2.10
In 0.865 0.635 0.000  -0.02
In 0.365 0.865 0.000  -0.02
In 0.135 0.365 0.000  -0.02
In 0.635 0.135 0.000  -0.02
Zr 0.330 0.170 0.500  -0.02
Zr 0.830 0.330 0.500  -0.02
Zr 0.170 0.670 0.500  -0.02
Zr 0.670 0.830 0.500  -0.02

Values from the calculation:
* total energy: -63.10 eV for the cell shown
* energy of formation: 0.029 eV/atom

(15)
A plane-wave DFT calculation with PBE was carried out for a relaxed Hf2Ta2Ge3 crystal.

Cell: 3.858 5.374 7.079 Å, 107.17 74.19 111.03°
Sites, in units of the cell vectors:
Ge 0.376 0.428 0.676
Ge 0.000 0.000 0.000
Ge 0.624 0.572 0.324
Hf 0.112 0.828 0.605
Hf 0.888 0.172 0.395
Ta 0.308 0.709 0.093
Ta 0.692 0.291 0.907

Values from the calculation:
* total energy: -59.72 eV for the cell shown
* energy of formation: -0.322 eV/atom

(16)
A plane-wave DFT calculation with PBE was carried out for a relaxed CoAg2Ru crystal.

Cell: 4.445 4.445 4.445 Å, 60.00 60.00 60.00°
Last column: magnetic moment on the atom in μB.
Sites, in units of the cell vectors:
Ru 0.500 0.500 0.500  1.28
Co 0.000 0.000 0.000  1.87
Ag 0.750 0.750 0.750  0.04
Ag 0.250 0.250 0.250  0.04

Values from the calculation:
* energy above the lowest structure with this stoichiometry: 0.4111 eV/atom
* total energy: -19.15 eV for the cell shown
* energy of formation: 0.733 eV/atom

(17)
A plane-wave DFT calculation with PBE was carried out for a relaxed Ce2Si3NiPt12 crystal.

Cell: 7.639 7.639 7.639 Å, 64.53 64.53 64.53°
Sites, in units of the cell vectors:
Pt 0.372 0.870 0.870
Pt 0.361 0.890 0.361
Pt 0.870 0.870 0.372
Pt 0.130 0.130 0.628
Pt 0.130 0.628 0.130
Pt 0.361 0.361 0.890
Pt 0.628 0.130 0.130
Pt 0.110 0.639 0.639
Pt 0.639 0.110 0.639
Pt 0.890 0.361 0.361
Pt 0.870 0.372 0.870
Pt 0.639 0.639 0.110
Ni 0.000 0.000 0.000
Si 0.500 0.000 0.000
Si 0.000 0.000 0.500
Si 0.000 0.500 0.000
Ce 0.622 0.622 0.622
Ce 0.378 0.378 0.378

Values from the calculation:
* total energy: -115.22 eV for the cell shown

(18)
A plane-wave DFT calculation with PBE was carried out for a relaxed TmThMgTl crystal.

Cell: 5.389 5.389 5.389 Å, 60.00 60.00 60.00°
Sites, in units of the cell vectors:
Tl 0.750 0.750 0.750
Tm 0.500 0.500 0.500
Th 0.000 0.000 0.000
Mg 0.250 0.250 0.250

Values from the calculation:
* total energy: -16.16 eV for the cell shown
* energy of formation: -0.078 eV/atom

(19)
A plane-wave DFT calculation with PBE was carried out for a relaxed Pr2ZrGa4Pd3 crystal.

Cell: 4.266 4.266 11.299 Å, 90.00 90.00 90.00°
Sites, in units of the cell vectors:
Ga 0.500 0.500 0.000
Ga 0.000 0.000 0.000
Ga 0.500 0.000 0.654
Ga 0.000 0.500 0.346
Zr 0.500 0.500 0.500
Pr 0.500 0.000 0.241
Pr 0.000 0.500 0.759
Pd 0.000 0.500 0.124
Pd 0.500 0.000 0.876
Pd 0.000 0.000 0.500

Values from the calculation:
* total energy: -52.89 eV for the cell shown
* energy of formation: -0.710 eV/atom

(20)
A plane-wave DFT calculation with PBE was carried out for a relaxed As2PdAuS crystal.

Cell: 4.842 4.461 4.842 Å, 90.00 90.00 90.00°
Sites, in units of the cell vectors:
S 0.000 0.000 0.000
As 0.500 0.000 0.000
As 0.000 0.000 0.500
Au 0.500 0.500 0.500
Pd 0.000 0.500 0.000

Values from the calculation:
* total energy: -18.88 eV for the cell shown

(21)
A plane-wave DFT calculation with PBE was carried out for a relaxed RhPbSe2 crystal.

Cell: 4.946 4.948 3.422 Å, 90.00 90.00 90.00°
Sites, in units of the cell vectors:
Rh 0.000 0.500 0.500
Se 0.500 0.500 0.000
Se 0.000 0.000 0.000
Pb 0.500 0.000 0.500

Values from the calculation:
* total energy: -17.38 eV for the cell shown

(22)
A plane-wave DFT calculation with PBE was carried out for a relaxed YHgP2Cl crystal.

Cell: 4.906 4.906 5.262 Å, 90.00 90.00 90.00°
Sites, in units of the cell vectors:
Cl 0.000 0.000 0.500
Hg 0.000 0.000 0.000
Y 0.500 0.500 0.500
P 0.500 0.000 0.000
P 0.000 0.500 0.000

Values from the calculation:
* energy above the lowest structure with this stoichiometry: 0.2288 eV/atom
* total energy: -18.43 eV for the cell shown

(23)
A plane-wave DFT calculation with PBE was carried out for a relaxed LaV2H2 crystal.

Cell: 6.656 6.656 3.134 Å, 90.00 90.00 90.00°
Sites, in units of the cell vectors:
V 0.105 0.605 0.500
V 0.895 0.395 0.500
V 0.395 0.105 0.500
V 0.605 0.895 0.500
H 0.397 0.897 0.000
H 0.603 0.103 0.000
H 0.897 0.603 0.000
H 0.103 0.397 0.000
La 0.500 0.500 0.000
La 0.000 0.000 0.000

Values from the calculation:
* energy above the lowest structure with this stoichiometry: 0.4793 eV/atom
* total energy: -54.34 eV for the cell shown

(24)
A plane-wave DFT calculation with PBE was carried out for a relaxed Ti5Tc4W crystal.

Cell: 3.114 3.114 15.633 Å, 90.00 90.00 90.00°
Sites, in units of the cell vectors:
Ti 0.500 0.500 0.500
Ti 0.500 0.500 0.697
Ti 0.500 0.500 0.106
Ti 0.500 0.500 0.303
Ti 0.500 0.500 0.894
Tc 0.000 0.000 0.401
Tc 0.000 0.000 0.798
Tc 0.000 0.000 0.599
Tc 0.000 0.000 0.202
W 0.000 0.000 0.000

Values from the calculation:
* total energy: -97.68 eV for the cell shown
* energy of formation: -0.379 eV/atom

(25)
A plane-wave DFT calculation with PBE was carried out for a relaxed HoSn2Ru crystal.

Cell: 3.326 3.326 7.615 Å, 90.00 90.00 90.00°
Last column: magnetic moment on the atom in μB.
Sites, in units of the cell vectors:
Ru 0.500 0.500 0.000  0.24
Ho 0.500 0.500 0.500  0.23
Sn 0.000 0.000 0.208  0.01
Sn 0.000 0.000 0.792  0.01

Values from the calculation:
* total energy: -23.10 eV for the cell shown
* energy of formation: -0.310 eV/atom